## P
# CsGe3F

CsGe3F after structural relaxation (GGA-PBE, the Alexandria database).

Cell lengths 5.8974, 5.8974, 5.8974 Å; angles 90.00, 90.00, 90.00 degrees
Closest atoms and distances in Å follow each position.
Fractional positions:
Cs 0.0000 0.0000 0.0000  6 Ge 2.95
Ge 0.0000 0.0000 0.5000  2 Cs 2.95
Ge 0.0000 0.5000 0.0000  2 Cs 2.95
Ge 0.5000 0.0000 0.0000  2 Cs 2.95
F 0.5000 0.5000 0.5000  12 Ge 4.17

Results
Crystal system: cubic
Symmetry: Pm-3m

## Q
# CsGe3F

CsGe3F after structural relaxation (GGA-PBE, the Alexandria database).

Cell lengths 5.0166, 5.0166, 5.0166 Å; angles 90.00, 90.00, 90.00 degrees
Closest atoms and distances in Å follow each position.
Fractional positions:
Cs 0.0000 0.0000 0.0000  12 Ge 3.55
Ge 0.0000 0.5000 0.5000  2 F 2.51
Ge 0.5000 0.0000 0.5000  2 F 2.51
Ge 0.5000 0.5000 0.0000  2 F 2.51
F 0.5000 0.5000 0.5000  6 Ge 2.51

Results
Crystal system: cubic
Symmetry: Pm-3m

Least stable structure: P

## P
# CsGeF4

CsGeF4 after structural relaxation (GGA-PBE, the Alexandria database).

Cell lengths 7.9893, 7.9893, 4.2826 Å; angles 90.00, 90.00, 90.00 degrees
Closest atoms and distances in Å follow each position.
Fractional positions:
Cs 0.2500 0.2500 0.1865  8 F 3.10-3.28
Cs 0.7500 0.7500 0.8135  8 F 3.10-3.28
Ge 0.2500 0.7500 0.5000  4 F 1.88
Ge 0.7500 0.2500 0.5000  4 F 1.88
F 0.0461 0.7500 0.2819  1 Ge 1.88
F 0.2500 0.5461 0.7181  1 Ge 1.88
F 0.2500 0.9539 0.7181  1 Ge 1.88
F 0.4539 0.7500 0.2819  1 Ge 1.88
F 0.5461 0.2500 0.7181  1 Ge 1.88
F 0.7500 0.0461 0.2819  1 Ge 1.88
F 0.7500 0.4539 0.2819  1 Ge 1.88
F 0.9539 0.2500 0.7181  1 Ge 1.88

Results
Crystal system: tetragonal
Symmetry: P4/nmm

## Q
# CsGeF4

CsGeF4 after structural relaxation (GGA-PBE, the Alexandria database).

Cell lengths 8.1340, 8.1340, 6.7683 Å; angles 90.00, 90.00, 150.08 degrees
Closest atoms and distances in Å follow each position.
Fractional positions:
Cs 0.1435 0.8565 0.7500  6 F 3.00-3.18
Cs 0.8565 0.1435 0.2500  6 F 3.00-3.18
Ge 0.4144 0.5856 0.7500  2 F 1.86
Ge 0.5856 0.4144 0.2500  2 F 1.86
F 0.0796 0.9204 0.2500  2 Ge 2.10
F 0.3289 0.6711 0.5599  1 Ge 1.86
F 0.3289 0.6711 0.9401  1 Ge 1.86
F 0.5000 0.5000 0.0000  2 Ge 2.16
F 0.5000 0.5000 0.5000  2 Ge 2.16
F 0.6711 0.3289 0.0599  1 Ge 1.86
F 0.6711 0.3289 0.4401  1 Ge 1.86
F 0.9204 0.0796 0.7500  2 Ge 2.10

Results
Crystal system: orthorhombic
Symmetry: Cmcm

Least stable structure: P

## P
# Cs3GeF7

Cs3GeF7 after structural relaxation (GGA-PBE, the Alexandria database).

Cell lengths 5.9937, 5.9937, 6.7726 Å; angles 91.22, 91.22, 91.75 degrees
Closest atoms and distances in Å follow each position.
Fractional positions:
Cs 0.0000 0.0000 0.0000  10 F 3.13-3.48
Cs 0.0003 0.5002 0.4865  6 F 2.93-3.07
Cs 0.5002 0.0003 0.4865  6 F 2.93-3.07
Ge 0.5010 0.5010 0.9858  6 F 1.83-1.85
F 0.2200 0.5214 0.8778  1 Ge 1.83
F 0.3820 0.3820 0.2119  1 Ge 1.85
F 0.4810 0.7821 0.0939  1 Ge 1.83
F 0.5214 0.2200 0.8778  1 Ge 1.83
F 0.6204 0.6204 0.7600  1 Ge 1.85
F 0.7821 0.4810 0.0939  1 Ge 1.83
F 0.9986 0.9986 0.4615  5 Cs 3.00-3.13

Results
Crystal system: monoclinic
Symmetry: Cm

## Q
# Cs3GeF7

Cs3GeF7 after structural relaxation (GGA-PBE, the Alexandria database).

Cell lengths 8.5649, 8.5649, 6.3214 Å; angles 90.00, 90.00, 90.00 degrees
Closest atoms and distances in Å follow each position.
Fractional positions:
Cs 0.0000 0.0000 0.0000  6 F 3.16-3.25
Cs 0.1950 0.3050 0.5000  10 F 3.03-3.27
Cs 0.3050 0.8050 0.5000  10 F 3.03-3.27
Cs 0.5000 0.5000 0.0000  6 F 3.16-3.25
Cs 0.6950 0.1950 0.5000  10 F 3.03-3.27
Cs 0.8050 0.6950 0.5000  10 F 3.03-3.27
Ge 0.0000 0.5000 0.0000  6 F 1.84
Ge 0.5000 0.0000 0.0000  6 F 1.84
F 0.0000 0.0000 0.5000  6 Cs 3.10-3.16
F 0.1064 0.6064 0.2075  1 Ge 1.84
F 0.1064 0.6064 0.7925  1 Ge 1.84
F 0.1515 0.3485 0.0000  1 Ge 1.84
F 0.3485 0.8485 0.0000  1 Ge 1.84
F 0.3936 0.1064 0.2075  1 Ge 1.84
F 0.3936 0.1064 0.7925  1 Ge 1.84
F 0.5000 0.5000 0.5000  6 Cs 3.10-3.16
F 0.6064 0.8936 0.2075  1 Ge 1.84
F 0.6064 0.8936 0.7925  1 Ge 1.84
F 0.6515 0.1515 0.0000  1 Ge 1.84
F 0.8485 0.6515 0.0000  1 Ge 1.84
F 0.8936 0.3936 0.2075  1 Ge 1.84
F 0.8936 0.3936 0.7925  1 Ge 1.84

Results
Crystal system: tetragonal
Symmetry: P4/mbm

Least stable structure: P